# 1
Computed, not measured: crystalline Ac3Mg2Cd5 at its relaxed geometry at the PBE level of DFT.

Output
SG: P4/mbm
VASP energy (eV/atom): -2.255

Lattice parameters (Å, degrees): 4.622 11.214 11.214 90.00 90.00 90.00
Atoms (fractional coordinates):
1 Cd 0.500 0.278 0.560
2 Cd 0.500 0.440 0.278
3 Cd 0.500 0.560 0.722
4 Cd 0.500 0.940 0.222
5 Cd 0.500 0.000 0.500
6 Cd 0.500 0.722 0.440
7 Cd 0.500 0.500 0.000
8 Cd 0.500 0.060 0.778
9 Cd 0.500 0.778 0.940
10 Cd 0.500 0.222 0.060
11 Mg 0.000 0.390 0.110
12 Mg 0.000 0.110 0.610
13 Mg 0.000 0.890 0.390
14 Mg 0.000 0.610 0.890
15 Ac 0.000 0.682 0.182
16 Ac 0.000 0.818 0.682
17 Ac 0.000 0.182 0.318
18 Ac 0.000 0.318 0.818
19 Ac 0.000 0.500 0.500
20 Ac 0.000 0.000 0.000

***

# 2
Computed, not measured: crystalline Ac2MgCd at its relaxed geometry at the PBE level of DFT.

Output
SG: Fm-3m
VASP energy (eV/atom): -2.865

Lattice parameters (Å, degrees): 5.782 5.782 5.782 60.00 60.00 60.00
Atoms (fractional coordinates):
1 Mg 0.500 0.500 0.500
2 Ac 0.750 0.750 0.750
3 Ac 0.250 0.250 0.250
4 Cd 0.000 0.000 0.000

***

# 3
Computed, not measured: crystalline Ac2MgCd at its relaxed geometry at the PBE level of DFT.

Output
SG: R-3m
VASP energy (eV/atom): -2.463

Lattice parameters (Å, degrees): 3.785 3.785 12.738 81.46 81.46 60.00
Atoms (fractional coordinates):
1 Ac 0.907 0.907 0.279
2 Ac 0.093 0.093 0.721
3 Mg 0.500 0.500 0.500
4 Cd 0.000 0.000 0.000

***

# 4
Computed, not measured: crystalline AcMg5Cd7 at its relaxed geometry at the PBE level of DFT.

Output
SG: Imm2
VASP energy (eV/atom): -1.607

Lattice parameters (Å, degrees): 6.098 7.716 7.716 81.52 66.73 66.73
Atoms (fractional coordinates):
1 Mg 0.724 0.776 0.776
2 Mg 0.498 0.003 0.497
3 Mg 0.002 0.003 0.497
4 Mg 0.498 0.497 0.003
5 Mg 0.002 0.497 0.003
6 Ac 0.999 0.001 0.001
7 Cd 0.998 0.353 0.651
8 Cd 0.282 0.218 0.218
9 Cd 0.347 0.653 0.653
10 Cd 0.503 0.211 0.783
11 Cd 0.998 0.651 0.353
12 Cd 0.647 0.353 0.353
13 Cd 0.503 0.783 0.211

***

# 5
Computed, not measured: crystalline Ac2Mg3Cd4 at its relaxed geometry at the PBE level of DFT.

Output
SG: Cmce
VASP energy (eV/atom): -2.069

Lattice parameters (Å, degrees): 6.392 8.901 9.274 90.00 110.16 90.00
Atoms (fractional coordinates):
1 Cd 0.320 0.480 0.640
2 Cd 0.820 0.020 0.640
3 Cd 0.680 0.520 0.360
4 Cd 0.810 0.250 0.121
5 Cd 0.310 0.250 0.121
6 Cd 0.690 0.750 0.879
7 Cd 0.180 0.980 0.360
8 Cd 0.190 0.750 0.879
9 Mg 0.477 0.250 0.454
10 Mg 0.977 0.250 0.454
11 Mg 0.523 0.750 0.546
12 Mg 0.500 0.500 0.000
13 Mg 0.000 0.000 0.000
14 Mg 0.023 0.750 0.546
15 Ac 0.395 0.097 0.790
16 Ac 0.105 0.597 0.210
17 Ac 0.605 0.903 0.210
18 Ac 0.895 0.403 0.790

***

# 6
Computed, not measured: crystalline Ac3Mg2Cd at its relaxed geometry at the PBE level of DFT.

Output
SG: Cmmm
VASP energy (eV/atom): -2.893

Lattice parameters (Å, degrees): 4.107 5.786 9.165 108.40 90.00 90.00
Atoms (fractional coordinates):
1 Mg 0.000 0.329 0.658
2 Mg 0.000 0.671 0.342
3 Ac 0.500 0.165 0.329
4 Ac 0.500 0.500 0.000
5 Ac 0.500 0.835 0.671
6 Cd 0.000 0.000 0.000

***

# 7
Computed, not measured: crystalline Ac4MgCd at its relaxed geometry at the PBE level of DFT.

Output
SG: P4/mmm
VASP energy (eV/atom): -3.010

Lattice parameters (Å, degrees): 5.650 5.651 8.048 89.99 90.00 90.00
Atoms (fractional coordinates):
1 Ac 0.501 0.997 0.744
2 Ac 0.001 0.497 0.744
3 Ac 0.501 0.997 0.252
4 Ac 0.001 0.497 0.252
5 Mg 0.501 0.497 0.998
6 Cd 0.001 0.997 0.498

***

# 8
Computed, not measured: crystalline Ac2MgCd5 at its relaxed geometry at the PBE level of DFT.

Output
SG: I4/mmm
VASP energy (eV/atom): -1.972

Lattice parameters (Å, degrees): 5.328 5.328 8.684 107.87 107.87 90.00
Atoms (fractional coordinates):
1 Cd 0.896 0.396 0.793
2 Cd 0.604 0.104 0.207
3 Cd 0.104 0.604 0.207
4 Cd 0.500 0.500 0.000
5 Cd 0.396 0.896 0.793
6 Mg 0.000 0.000 0.000
7 Ac 0.253 0.253 0.506
8 Ac 0.747 0.747 0.494

***

# 9
Computed, not measured: crystalline Ac2Mg6Cd3 at its relaxed geometry at the PBE level of DFT.

Output
SG: P-62m
VASP energy (eV/atom): -2.006

Lattice parameters (Å, degrees): 4.618 8.781 8.781 120.00 90.00 90.00
Atoms (fractional coordinates):
1 Mg 0.000 0.000 0.802
2 Mg 0.000 0.198 0.198
3 Mg 0.000 0.802 0.000
4 Mg 0.500 0.000 0.281
5 Mg 0.500 0.281 0.000
6 Mg 0.500 0.719 0.719
7 Cd 0.500 0.608 0.000
8 Cd 0.500 0.000 0.608
9 Cd 0.500 0.392 0.392
10 Ac 0.000 0.667 0.333
11 Ac 0.000 0.333 0.667

***

# 10
Computed, not measured: crystalline Ac2Mg3Cd5 at its relaxed geometry at the PBE level of DFT.

Output
SG: Ibam
VASP energy (eV/atom): -1.976

Lattice parameters (Å, degrees): 6.717 9.709 9.709 74.06 69.76 69.76
Atoms (fractional coordinates):
1 Mg 0.139 0.254 0.468
2 Mg 0.361 0.532 0.746
3 Mg 0.250 0.000 0.000
4 Mg 0.639 0.468 0.254
5 Mg 0.750 0.000 0.000
6 Mg 0.861 0.746 0.532
7 Ac 0.629 0.140 0.602
8 Ac 0.371 0.860 0.398
9 Ac 0.871 0.398 0.860
10 Ac 0.129 0.602 0.140
11 Cd 0.470 0.780 0.780
12 Cd 0.889 0.953 0.270
13 Cd 0.530 0.220 0.220
14 Cd 0.970 0.780 0.780
15 Cd 0.250 0.500 0.500
16 Cd 0.111 0.047 0.730
17 Cd 0.030 0.220 0.220
18 Cd 0.750 0.500 0.500
19 Cd 0.611 0.730 0.047
20 Cd 0.389 0.270 0.953

***

# 11
Computed, not measured: crystalline Ac5MgCd4 at its relaxed geometry at the PBE level of DFT.

Output
SG: P4/mmm
VASP energy (eV/atom): -2.830

Lattice parameters (Å, degrees): 4.091 4.091 20.367 90.00 90.00 90.00
Atoms (fractional coordinates):
1 Ac 0.500 0.500 0.500
2 Ac 0.500 0.500 0.301
3 Ac 0.500 0.500 0.899
4 Ac 0.500 0.500 0.699
5 Ac 0.500 0.500 0.101
6 Cd 0.000 0.000 0.199
7 Cd 0.000 0.000 0.801
8 Cd 0.000 0.000 0.600
9 Cd 0.000 0.000 0.400
10 Mg 0.000 0.000 0.000

***

# 12
Computed, not measured: crystalline AcMg2Cd6 at its relaxed geometry at the PBE level of DFT.

Output
SG: Fd-3m
VASP energy (eV/atom): -1.193

Lattice parameters (Å, degrees): 9.276 9.276 9.276 60.00 60.00 60.00
Atoms (fractional coordinates):
1 Cd 0.752 0.752 0.248
2 Cd 0.498 0.002 0.498
3 Cd 0.002 0.498 0.498
4 Cd 0.248 0.752 0.248
5 Cd 0.248 0.248 0.752
6 Cd 0.498 0.498 0.002
7 Cd 0.002 0.498 0.002
8 Cd 0.002 0.002 0.498
9 Cd 0.752 0.248 0.752
10 Cd 0.498 0.002 0.002
11 Cd 0.248 0.752 0.752
12 Cd 0.752 0.248 0.248
13 Mg 0.125 0.625 0.125
14 Mg 0.125 0.125 0.125
15 Mg 0.625 0.125 0.125
16 Mg 0.125 0.125 0.625
17 Ac 0.750 0.750 0.750
18 Ac 0.500 0.500 0.500

***

# 13
Computed, not measured: crystalline AcMg7Cd5 at its relaxed geometry at the PBE level of DFT.

Output
SG: Imm2
VASP energy (eV/atom): -1.695

Lattice parameters (Å, degrees): 5.993 7.767 7.767 81.60 67.31 67.31
Atoms (fractional coordinates):
1 Mg 0.998 0.649 0.355
2 Mg 0.998 0.355 0.649
3 Mg 0.502 0.214 0.782
4 Mg 0.279 0.221 0.221
5 Mg 0.352 0.648 0.648
6 Mg 0.646 0.354 0.354
7 Mg 0.502 0.782 0.214
8 Cd 0.502 0.495 0.000
9 Cd 0.712 0.788 0.788
10 Cd 0.003 0.495 0.000
11 Cd 0.003 0.000 0.495
12 Cd 0.502 0.000 0.495
13 Ac 0.000 0.000 0.000

***

# 14
Computed, not measured: crystalline AcMgCd4 at its relaxed geometry at the PBE level of DFT.

Output
SG: I4/mmm
VASP energy (eV/atom): -1.626

Lattice parameters (Å, degrees): 9.966 9.966 9.966 99.31 99.31 132.57
Atoms (fractional coordinates):
1 Cd 0.511 0.865 0.000
2 Cd 0.890 0.290 0.180
3 Cd 0.135 0.489 0.000
4 Cd 0.110 0.290 0.400
5 Cd 0.890 0.710 0.600
6 Cd 0.135 0.135 0.646
7 Cd 0.290 0.890 0.180
8 Cd 0.489 0.489 0.354
9 Cd 0.290 0.110 0.400
10 Cd 0.710 0.110 0.820
11 Cd 0.865 0.865 0.354
12 Cd 0.710 0.890 0.600
13 Cd 0.489 0.135 0.000
14 Cd 0.110 0.710 0.820
15 Cd 0.865 0.511 0.000
16 Cd 0.511 0.511 0.646
17 Ac 0.250 0.750 0.500
18 Ac 0.750 0.250 0.500
19 Ac 0.245 0.245 0.000
20 Ac 0.755 0.755 0.000
21 Mg 0.500 0.237 0.737
22 Mg 0.500 0.763 0.263
23 Mg 0.237 0.500 0.737
24 Mg 0.763 0.500 0.263

***

# 15
Computed, not measured: crystalline AcMg4Cd4 at its relaxed geometry at the PBE level of DFT.

Output
SG: I4/m
VASP energy (eV/atom): -1.682

Lattice parameters (Å, degrees): 5.062 9.492 9.492 90.00 90.00 90.00
Atoms (fractional coordinates):
1 Cd 0.000 0.726 0.633
2 Cd 0.500 0.867 0.226
3 Cd 0.000 0.367 0.726
4 Cd 0.500 0.774 0.867
5 Cd 0.500 0.226 0.133
6 Cd 0.500 0.133 0.774
7 Cd 0.000 0.633 0.274
8 Cd 0.000 0.274 0.367
9 Mg 0.500 0.582 0.128
10 Mg 0.500 0.418 0.872
11 Mg 0.000 0.082 0.628
12 Mg 0.000 0.372 0.082
13 Mg 0.000 0.918 0.372
14 Mg 0.500 0.872 0.582
15 Mg 0.000 0.628 0.918
16 Mg 0.500 0.128 0.418
17 Ac 0.000 0.000 0.000
18 Ac 0.500 0.500 0.500

***

# 16
Computed, not measured: crystalline Ac5Mg2Cd12 at its relaxed geometry at the PBE level of DFT.

Output
SG: C2/m
VASP energy (eV/atom): -2.051

Lattice parameters (Å, degrees): 7.522 7.789 10.087 67.29 85.61 90.00
Atoms (fractional coordinates):
1 Ac 0.945 0.298 0.404
2 Ac 0.055 0.702 0.596
3 Ac 0.584 0.758 0.484
4 Ac 0.500 0.000 0.000
5 Ac 0.416 0.242 0.516
6 Cd 0.081 0.104 0.791
7 Cd 0.350 0.795 0.792
8 Cd 0.350 0.413 0.792
9 Cd 0.250 0.053 0.286
10 Cd 0.650 0.587 0.208
11 Cd 0.750 0.947 0.714
12 Cd 0.312 0.455 0.089
13 Cd 0.919 0.896 0.209
14 Cd 0.650 0.205 0.208
15 Cd 0.250 0.661 0.286
16 Cd 0.688 0.545 0.911
17 Cd 0.750 0.339 0.714
18 Mg 0.000 0.714 0.000
19 Mg 0.000 0.286 0.000

***

# 17
Computed, not measured: crystalline AcMg6Cd4 at its relaxed geometry at the PBE level of DFT.

Output
SG: P-6m2
VASP energy (eV/atom): -1.745

Lattice parameters (Å, degrees): 4.691 8.130 8.130 120.00 90.00 90.00
Atoms (fractional coordinates):
1 Ac 0.000 0.000 0.000
2 Cd 0.500 0.405 0.203
3 Cd 0.500 0.797 0.595
4 Cd 0.500 0.797 0.203
5 Cd 0.000 0.333 0.667
6 Mg 0.500 0.590 0.795
7 Mg 0.500 0.205 0.795
8 Mg 0.500 0.205 0.410
9 Mg 0.000 0.534 0.068
10 Mg 0.000 0.534 0.466
11 Mg 0.000 0.932 0.466

***

# 18
Computed, not measured: crystalline Ac2MgCd5 at its relaxed geometry at the PBE level of DFT.

Output
SG: Cmcm
VASP energy (eV/atom): -2.042

Lattice parameters (Å, degrees): 4.951 9.459 10.176 90.00 90.00 105.17
Atoms (fractional coordinates):
1 Mg 0.555 0.110 0.250
2 Mg 0.445 0.890 0.750
3 Ac 0.000 0.000 0.000
4 Ac 0.000 0.000 0.500
5 Ac 0.797 0.595 0.750
6 Ac 0.203 0.405 0.250
7 Cd 0.599 0.198 0.750
8 Cd 0.813 0.625 0.394
9 Cd 0.401 0.802 0.250
10 Cd 0.187 0.375 0.606
11 Cd 0.353 0.706 0.525
12 Cd 0.813 0.625 0.106
13 Cd 0.647 0.294 0.475
14 Cd 0.187 0.375 0.894
15 Cd 0.647 0.294 0.025
16 Cd 0.353 0.706 0.975

***

# 19
Computed, not measured: crystalline AcMgCd2 at its relaxed geometry at the PBE level of DFT.

Output
SG: P4/mmm
VASP energy (eV/atom): -2.030

Lattice parameters (Å, degrees): 4.137 5.331 5.331 90.00 90.00 90.00
Atoms (fractional coordinates):
1 Cd 0.000 0.500 0.000
2 Cd 0.000 0.000 0.500
3 Mg 0.500 0.500 0.500
4 Ac 0.500 0.000 0.000